16
Lattice="4.0442 0.0000 0.0000 0.0000 4.0442 0.0000 0.0000 0.0000 16.4972" Properties=species:S:1:pos:R:3 comment="Li3CuAu12, optimized geometry, DFT GGA-PBE" dos_at_fermi_per_ev_cell=4.7 m_tot_mub_per_fu=0.000 delta_e_f_mev_per_atom=-267.4 total_energy_ev_per_atom=-3.34 pbc="T T T"
Li 0.0000 0.0000 4.1094
Li 0.0000 0.0000 8.2486
Li 0.0000 0.0000 12.3878
Cu 0.0000 0.0000 0.0000
Au 2.0221 2.0221 0.0000
Au 2.0221 2.0221 4.1153
Au 2.0221 2.0221 8.2486
Au 2.0221 2.0221 12.3819
Au 2.0221 0.0000 2.0498
Au 2.0221 0.0000 6.1809
Au 2.0221 0.0000 10.3163
Au 2.0221 0.0000 14.4474
Au 0.0000 2.0221 2.0498
Au 0.0000 2.0221 6.1809
Au 0.0000 2.0221 10.3163
Au 0.0000 2.0221 14.4474